Density functional theory data (GGA-PBE) for La5Tb6 after structural relaxation.

a b c (Å): 8.7899 8.7899 8.1245
angles (deg): 90.00 90.00 141.91
Element x y z (fractional)
La1 0.0000 0.0000 0.0000
La2 0.3116 0.6884 0.5000
La3 0.3301 0.6699 0.0000
La4 0.6699 0.3301 0.0000
La5 0.6884 0.3116 0.5000
Tb1 0.1326 0.8674 0.2885
Tb2 0.1326 0.8674 0.7115
Tb3 0.5000 0.5000 0.2843
Tb4 0.5000 0.5000 0.7157
Tb5 0.8674 0.1326 0.2885
Tb6 0.8674 0.1326 0.7115

energy relative to the lowest polymorph listed for this composition: 0 meV/atom
space-group type: Cmmm (65)



Density functional theory data (GGA-PBE) for Nd8Tm3Sc after structural relaxation.

a b c (Å): 8.4626 8.4626 8.4626
angles (deg): 118.35 118.35 92.88
Element x y z (fractional)
Nd1 0.1149 0.1149 0.7456
Nd2 0.2180 0.2180 0.4779
Nd3 0.2599 0.7820 0.0000
Nd4 0.3693 0.3693 0.2544
Nd5 0.6307 0.8851 0.0000
Nd6 0.7401 0.7401 0.5221
Nd7 0.7820 0.2599 0.0000
Nd8 0.8851 0.6307 0.0000
Tm1 0.2500 0.7500 0.5000
Tm2 0.5000 0.5000 0.0000
Tm3 0.7500 0.2500 0.5000
Sc1 0.0000 0.0000 0.0000

space-group type: I-42m (121)



| no. | energy of formation from the pure elements (meV per atom) |
| --- | --- |
| 1 | 140.1 |
| 2 | 560.7 |